(1)
Here is a relaxed structure of Ce6SeO8 from Alexandria via LeMat-Bulk. Energies are from GGA-PBE.

Calculated values
SG = R-3 (148)
Density = 6.9 g/cm3
Formation energy from raw total energies = -3.121 eV per atom
N(E_F) = 1.6868 states/eV/atom

Cell: 6.754 6.754 7.503 Å, 63.25 63.25 60.00°
Positions (direct):
O 0.127 0.442 0.635
O 0.673 0.673 0.981
O 0.442 0.796 0.635
O 0.204 0.873 0.365
O 0.327 0.327 0.019
O 0.796 0.127 0.635
O 0.873 0.558 0.365
O 0.558 0.204 0.365
Ce 0.739 0.443 0.736
Ce 0.082 0.739 0.736
Ce 0.918 0.261 0.264
Ce 0.557 0.918 0.264
Ce 0.261 0.557 0.264
Ce 0.443 0.082 0.736
Se 0.000 0.000 0.000

(2)
Here is a relaxed structure of TcAgSb2 from Alexandria via LeMat-Bulk. Energies are from GGA-PBE.

Calculated values
Relative energy among the computed polymorphs = 0.000 eV/atom
SG = P2/m (10)
Density = 8.6 g/cm3
Formation energy from raw total energies = 0.109 eV per atom
N(E_F) = 0.3024 states/eV/atom

Cell: 3.229 3.230 8.366 Å, 89.93 90.00 90.00°
Positions (direct):
Sb 0.000 0.751 0.053
Sb 0.000 0.749 0.447
Tc 0.500 0.250 0.250
Ag 0.500 0.750 0.750

(3)
Here is a relaxed structure of TaBi2SbAs from Alexandria via LeMat-Bulk. Energies are from GGA-PBE.

Calculated values
SG = P4/mmm (123)
Density = 8.0 g/cm3
Formation energy from raw total energies = 1.644 eV per atom
N(E_F) = 1.4263 states/eV/atom

Cell: 5.668 5.110 5.668 Å, 90.00 90.00 90.00°
Positions (direct):
Bi 0.500 0.000 0.000
Bi 0.000 0.000 0.500
As 0.000 0.500 0.000
Sb 0.000 0.000 0.000
Ta 0.500 0.500 0.500

(4)
Here is a relaxed structure of TbNdMgGa from Alexandria via LeMat-Bulk. Energies are from GGA-PBE.

Calculated values
SG = F-43m (216)
Density = 6.4 g/cm3
DFT formation energy = -338 meV/atom
N(E_F) = 0.6601 states/eV/atom

Cell: 5.260 5.260 5.260 Å, 60.00 60.00 60.00°
Positions (direct):
Ga 0.750 0.750 0.750
Mg 0.250 0.250 0.250
Tb 0.000 0.000 0.000
Nd 0.500 0.500 0.500

(5)
Here is a relaxed structure of Ta2ZnPtBr from Alexandria via LeMat-Bulk. Energies are from GGA-PBE.

Calculated values
SG = P4/mmm (123)
Density = 9.0 g/cm3
Formation energy from raw total energies = 1.365 eV per atom
N(E_F) = 0.8781 states/eV/atom

Cell: 4.973 5.254 4.973 Å, 90.00 90.00 90.00°
Positions (direct):
Zn 0.500 0.500 0.500
Pt 0.000 0.000 0.000
Ta 0.500 0.000 0.000
Ta 0.000 0.000 0.500
Br 0.000 0.500 0.000

(6)
Here is a relaxed structure of LaTmInPt from Alexandria via LeMat-Bulk. Energies are from GGA-PBE.

Calculated values
SG = F-43m (216)
Density = 10.1 g/cm3
DFT formation energy = -690 meV/atom
N(E_F) = 0.9197 states/eV/atom

Cell: 5.237 5.237 5.237 Å, 60.00 60.00 60.00°
Positions (direct):
La 0.000 0.000 0.000
In 0.250 0.250 0.250
Tm 0.500 0.500 0.500
Pt 0.750 0.750 0.750

(7)
Here is a relaxed structure of DyNi3Sb from Alexandria via LeMat-Bulk. Energies are from GGA-PBE.

Calculated values
SG = Imma (74)
Density = 8.3 g/cm3
Formation energy from raw total energies = -0.279 eV per atom
N(E_F) = 0.5196 states/eV/atom

Cell: 5.316 7.002 6.606 Å, 122.00 113.72 90.00°
Positions (direct):
Ni 0.374 0.874 0.248
Ni 0.626 0.126 0.752
Ni 0.126 0.126 0.752
Ni 0.750 0.243 0.500
Ni 0.250 0.757 0.500
Ni 0.874 0.874 0.248
Sb 0.000 0.500 0.000
Sb 0.500 0.000 0.000
Dy 0.250 0.325 0.500
Dy 0.750 0.675 0.500

(8)
Here is a relaxed structure of Sr2In2Sn from Alexandria via LeMat-Bulk. Energies are from GGA-PBE.

Calculated values
Relative energy among the computed polymorphs = 0.461 eV/atom
SG = I4/mmm (139)
Density = 4.6 g/cm3
DFT formation energy = 0 meV/atom
N(E_F) = 0.5175 states/eV/atom

Cell: 5.274 5.274 7.706 Å, 69.99 69.99 90.00°
Positions (direct):
Sr 0.750 0.250 0.500
Sr 0.250 0.750 0.500
Sn 0.000 0.000 0.000
In 0.402 0.402 0.197
In 0.598 0.598 0.803

(9)
Here is a relaxed structure of Pr3Sm4Dy from Alexandria via LeMat-Bulk. Energies are from GGA-PBE.

Calculated values
Relative energy among the computed polymorphs = 0.176 eV/atom
SG = C2/m (12)
Density = 7.0 g/cm3
DFT formation energy = 208 meV/atom
N(E_F) = 1.4531 states/eV/atom

Cell: 3.497 6.274 12.924 Å, 95.01 97.78 90.00°
Positions (direct):
Pr 0.000 0.500 0.000
Pr 0.145 0.756 0.289
Pr 0.855 0.244 0.711
Dy 0.500 0.000 0.000
Sm 0.894 0.758 0.788
Sm 0.279 0.762 0.557
Sm 0.106 0.242 0.212
Sm 0.721 0.238 0.443

(10)
Here is a relaxed structure of CdRuIN2 from Alexandria via LeMat-Bulk. Energies are from GGA-PBE.

Calculated values
Relative energy among the computed polymorphs = 1.137 eV/atom
SG = P4/mmm (123)
Density = 7.0 g/cm3
Formation energy from raw total energies = 2.051 eV per atom
N(E_F) = 0.8101 states/eV/atom

Cell: 4.139 5.085 4.139 Å, 90.00 90.00 90.00°
Positions (direct):
I 0.000 0.000 0.000
N 0.500 0.000 0.000
N 0.000 0.000 0.500
Cd 0.500 0.500 0.500
Ru 0.000 0.500 0.000

(11)
Here is a relaxed structure of Zn2Cd2Au7 from Alexandria via LeMat-Bulk. Energies are from GGA-PBE.

Calculated values
Relative energy among the computed polymorphs = 0.027 eV/atom
SG = C2/m (12)
Density = 13.9 g/cm3
DFT formation energy = -91 meV/atom
N(E_F) = 0.3384 states/eV/atom

Cell: 5.475 6.428 6.428 Å, 100.22 103.38 103.38°
Positions (direct):
Au 0.802 0.075 0.577
Au 0.880 0.630 0.630
Au 0.802 0.577 0.075
Au 0.000 0.000 0.000
Au 0.198 0.925 0.423
Au 0.198 0.423 0.925
Au 0.120 0.370 0.370
Zn 0.500 0.688 0.312
Zn 0.500 0.312 0.688
Cd 0.451 0.803 0.803
Cd 0.549 0.197 0.197

(12)
Here is a relaxed structure of DyPd2PtAu from Alexandria via LeMat-Bulk. Energies are from GGA-PBE.

Calculated values
SG = P2_1/m (11)
Density = 13.7 g/cm3
DFT formation energy = -641 meV/atom
N(E_F) = 0.4118 states/eV/atom

Cell: 4.286 6.801 6.497 Å, 100.83 90.00 90.00°
Positions (direct):
Au 0.750 0.058 0.632
Au 0.250 0.942 0.368
Pd 0.750 0.462 0.829
Pd 0.250 0.369 0.523
Pd 0.250 0.538 0.171
Pd 0.750 0.631 0.477
Dy 0.750 0.219 0.186
Dy 0.250 0.781 0.814
Pt 0.750 0.789 0.126
Pt 0.250 0.211 0.874

(13)
Here is a relaxed structure of HoErMnGa from Alexandria via LeMat-Bulk. Energies are from GGA-PBE.

Calculated values
SG = F-43m (216)
Density = 8.6 g/cm3
DFT formation energy = -171 meV/atom
N(E_F) = 1.2332 states/eV/atom

Cell: 5.001 5.001 5.001 Å, 60.00 60.00 60.00°
Positions (direct):
Ho 0.750 0.750 0.750
Ga 0.000 0.000 0.000
Er 0.250 0.250 0.250
Mn 0.500 0.500 0.500

(14)
Here is a relaxed structure of ZrCo2 from Alexandria via LeMat-Bulk. Energies are from GGA-PBE.

Calculated values
SG = Pa-3 (205)
Density = 6.7 g/cm3
DFT formation energy = 798 meV/atom
N(E_F) = 1.7414 states/eV/atom

Cell: 5.906 5.906 5.906 Å, 90.00 90.00 90.00°
Positions (direct):
Co 0.392 0.392 0.392
Co 0.108 0.608 0.892
Co 0.892 0.392 0.108
Co 0.608 0.608 0.608
Co 0.392 0.108 0.892
Co 0.892 0.108 0.608
Co 0.608 0.892 0.108
Co 0.108 0.892 0.392
Zr 0.500 0.000 0.500
Zr 0.000 0.500 0.500
Zr 0.500 0.500 0.000
Zr 0.000 0.000 0.000

(15)
Here is a relaxed structure of ThTi2H8 from Alexandria via LeMat-Bulk. Energies are from GGA-PBE.

Calculated values
Relative energy among the computed polymorphs = 0.000 eV/atom
SG = C2/m (12)
Density = 6.2 g/cm3
N(E_F) = 0.4139 states/eV/atom

Cell: 3.529 5.291 5.291 Å, 113.77 92.42 92.42°
Positions (direct):
Ti 0.000 0.336 0.664
Ti 0.000 0.664 0.336
Th 0.500 0.000 0.000
H 0.975 0.973 0.684
H 0.279 0.608 0.608
H 0.500 0.262 0.738
H 0.025 0.027 0.316
H 0.975 0.684 0.973
H 0.025 0.316 0.027
H 0.500 0.738 0.262
H 0.721 0.392 0.392

(16)
Here is a relaxed structure of Be3NbRu4 from Alexandria via LeMat-Bulk. Energies are from GGA-PBE.

Calculated values
SG = P4/mmm (123)
Density = 8.8 g/cm3
DFT formation energy = -233 meV/atom
N(E_F) = 0.9045 states/eV/atom

Cell: 4.100 5.901 8.200 Å, 90.00 90.00 90.00°
Positions (direct):
Be 0.000 0.000 0.000
Be 0.500 0.000 0.750
Be 0.500 0.000 0.250
Be 0.000 0.000 0.500
Be 0.500 0.500 0.250
Be 0.500 0.500 0.750
Ru 0.500 0.224 0.500
Ru 0.500 0.224 0.000
Ru 0.000 0.776 0.250
Ru 0.000 0.224 0.750
Ru 0.000 0.776 0.750
Ru 0.500 0.776 0.500
Ru 0.000 0.224 0.250
Ru 0.500 0.776 0.000
Nb 0.000 0.500 0.500
Nb 0.000 0.500 0.000

(17)
Here is a relaxed structure of KScZn2N from Alexandria via LeMat-Bulk. Energies are from GGA-PBE.

Calculated values
SG = P4/mmm (123)
Density = 3.5 g/cm3
Formation energy from raw total energies = 0.170 eV per atom
N(E_F) = 0.5228 states/eV/atom

Cell: 5.120 4.127 5.120 Å, 90.00 90.00 90.00°
Positions (direct):
N 0.000 0.000 0.000
K 0.500 0.500 0.500
Zn 0.500 0.000 0.000
Zn 0.000 0.000 0.500
Sc 0.000 0.500 0.000

(18)
Here is a relaxed structure of Co2PN from Alexandria via LeMat-Bulk. Energies are from GGA-PBE.

Calculated values
Relative energy among the computed polymorphs = 0.568 eV/atom
SG = Fm-3m (225)
Density = 7.0 g/cm3
Formation energy from raw total energies = 0.480 eV per atom
N(E_F) = 0.4373 states/eV/atom

Cell: 3.799 3.799 3.799 Å, 60.00 60.00 60.00°
Positions (direct):
Co 0.750 0.750 0.750
Co 0.250 0.250 0.250
P 0.500 0.500 0.500
N 0.000 0.000 0.000

(19)
Here is a relaxed structure of USiBrO4 from Alexandria via LeMat-Bulk. Energies are from GGA-PBE.

Calculated values
SG = C2/m (12)
Density = 6.2 g/cm3
Formation energy from raw total energies = -2.609 eV per atom
N(E_F) = 0.2048 states/eV/atom

Cell: 6.063 6.063 6.704 Å, 76.82 76.82 68.29°
Positions (direct):
O 0.468 0.468 0.789
O 0.532 0.532 0.211
O 0.885 0.511 0.841
O 0.702 0.702 0.480
O 0.298 0.298 0.520
O 0.489 0.115 0.159
O 0.511 0.885 0.841
O 0.115 0.489 0.159
Si 0.362 0.362 0.267
Si 0.638 0.638 0.733
Br 0.986 0.986 0.759
Br 0.014 0.014 0.241
U 0.252 0.252 0.842
U 0.748 0.748 0.158

(20)
Here is a relaxed structure of CaRh4Au from Alexandria via LeMat-Bulk. Energies are from GGA-PBE.

Calculated values
SG = F-43m (216)
Density = 10.5 g/cm3
DFT formation energy = -57 meV/atom
N(E_F) = 1.9276 states/eV/atom

Cell: 5.260 5.260 5.260 Å, 60.00 60.00 60.00°
Positions (direct):
Ca 0.000 0.000 0.000
Rh 0.375 0.874 0.375
Rh 0.375 0.375 0.375
Rh 0.874 0.375 0.375
Rh 0.375 0.375 0.874
Au 0.750 0.750 0.750

(21)
Here is a relaxed structure of K2SiPOs from Alexandria via LeMat-Bulk. Energies are from GGA-PBE.

Calculated values
SG = P4/mmm (123)
Density = 3.0 g/cm3
Formation energy from raw total energies = 0.927 eV per atom
N(E_F) = 1.4371 states/eV/atom

Cell: 6.437 4.389 6.437 Å, 90.00 90.00 90.00°
Positions (direct):
P 0.000 0.500 0.000
K 0.000 0.000 0.500
K 0.500 0.000 0.000
Si 0.500 0.500 0.500
Os 0.000 0.000 0.000

(22)
Here is a relaxed structure of Li2Sn14Au9 from Alexandria via LeMat-Bulk. Energies are from GGA-PBE.

Calculated values
SG = P-3 (147)
Density = 8.9 g/cm3
DFT formation energy = -201 meV/atom
N(E_F) = 0.4471 states/eV/atom

Cell: 8.090 8.090 11.411 Å, 90.00 90.00 120.00°
Positions (direct):
Au 0.986 0.663 0.660
Au 0.667 0.333 0.997
Au 0.000 0.000 0.000
Au 0.014 0.337 0.340
Au 0.333 0.667 0.003
Au 0.323 0.986 0.340
Au 0.663 0.677 0.340
Au 0.337 0.323 0.660
Au 0.677 0.014 0.660
Sn 0.351 0.335 0.408
Sn 0.000 0.000 0.750
Sn 0.984 0.649 0.408
Sn 0.004 0.660 0.908
Sn 0.649 0.665 0.592
Sn 0.665 0.016 0.408
Sn 0.660 0.656 0.092
Sn 0.016 0.351 0.592
Sn 0.340 0.344 0.908
Sn 0.335 0.984 0.592
Sn 0.656 0.996 0.908
Sn 0.344 0.004 0.092
Sn 0.000 0.000 0.250
Sn 0.996 0.340 0.092
Li 0.333 0.667 0.251
Li 0.667 0.333 0.749

(23)
Here is a relaxed structure of Sr6Zn5Ag from Alexandria via LeMat-Bulk. Energies are from GGA-PBE.

Calculated values
SG = P2/m (10)
Density = 4.4 g/cm3
DFT formation energy = -196 meV/atom
N(E_F) = 0.6236 states/eV/atom

Cell: 5.556 7.731 8.801 Å, 90.00 108.42 90.00°
Positions (direct):
Zn 0.666 0.500 0.331
Zn 0.334 0.500 0.669
Zn 0.000 0.500 0.000
Zn 0.670 0.000 0.338
Zn 0.330 0.000 0.662
Sr 0.833 0.749 0.667
Sr 0.500 0.750 0.000
Sr 0.167 0.251 0.333
Sr 0.833 0.251 0.667
Sr 0.500 0.250 0.000
Sr 0.167 0.749 0.333
Ag 0.000 0.000 0.000

(24)
Here is a relaxed structure of Mg2SiNi from Alexandria via LeMat-Bulk. Energies are from GGA-PBE.

Calculated values
SG = C2/c (15)
Density = 3.0 g/cm3
Formation energy from raw total energies = -0.175 eV per atom
N(E_F) = 0.3327 states/eV/atom

Cell: 4.318 5.062 7.853 Å, 80.68 74.04 64.75°
Positions (direct):
Si 0.319 0.250 0.750
Si 0.681 0.750 0.250
Mg 0.131 0.232 0.407
Mg 0.769 0.268 0.093
Mg 0.869 0.768 0.593
Mg 0.231 0.732 0.907
Ni 0.180 0.750 0.250
Ni 0.820 0.250 0.750